The following is a PBEsol calculation of a relaxed Mg2AgIr crystal, from Alexandria.

Output
total magnetic moment	0.00	μB/f.u.
E_tot	-4.400	eV per atom
ΔE_f	-0.258	eV/atom
offset from the most stable computed form	0.0004	eV per atom
crystal system	tetragonal

Lattice parameters (Å, degrees): 4.4400 4.4400 6.4426 90.00 90.00 90.00
Last column: nearest neighbours and their distance in Å.
Space group I4/mmm (No. 139)
Unique sites:
Mg1 0.0000 0.5000 0.2500  4 Ag 2.74, 4 Ir 2.74
Ag1 0.0000 0.0000 0.0000  8 Mg 2.74
Ir1 0.0000 0.0000 0.5000  8 Mg 2.74

***

The following is a PBEsol calculation of a relaxed MgAgIr2 crystal, from Alexandria.

Output
total magnetic moment	0.00	μB/f.u.
E_tot	-6.192	eV per atom
ΔE_f	-0.023	eV/atom
crystal system	tetragonal

Lattice parameters (Å, degrees): 2.7684 2.7684 8.0226 90.00 90.00 90.00
Last column: nearest neighbours and their distance in Å.
Space group P4mm (No. 99)
Unique sites:
Mg1 0.0000 0.0000 0.0000  4 Mg 2.77, 4 Ir 2.79, 4 Ag 2.92
Ag1 0.5000 0.5000 0.2702  4 Ag 2.77, 4 Ir 2.88, 4 Mg 2.92
Ir1 0.0000 0.0000 0.5329  8 Ir 2.63-2.77, 4 Ag 2.88
Ir2 0.5000 0.5000 0.7521  8 Ir 2.63-2.77, 4 Mg 2.79

***

The following is a PBEsol calculation of a relaxed Mg2AgIr crystal, from Alexandria.

Output
total magnetic moment	0.00	μB/f.u.
E_tot	-4.400	eV per atom
ΔE_f	-0.258	eV/atom
offset from the most stable computed form	0.0000	eV per atom
crystal system	tetragonal

Lattice parameters (Å, degrees): 4.4781 4.4781 3.1542 90.00 90.00 90.00
Last column: nearest neighbours and their distance in Å.
Space group P4/mmm (No. 123)
Unique sites:
Mg1 0.0000 0.5000 0.0000  4 Ir 2.74, 4 Ag 2.74
Ag1 0.0000 0.0000 0.5000  8 Mg 2.74
Ir1 0.5000 0.5000 0.5000  8 Mg 2.74

***

The following is a PBEsol calculation of a relaxed Mg2AgIr crystal, from Alexandria.

Output
total magnetic moment	0.00	μB/f.u.
E_tot	-4.321	eV per atom
ΔE_f	-0.179	eV/atom
offset from the most stable computed form	0.0792	eV per atom
crystal system	monoclinic

Lattice parameters (Å, degrees): 9.7578 3.0654 4.5689 90.00 107.57 90.00
Last column: nearest neighbours and their distance in Å.
Space group Cm (No. 8)
Unique sites:
Mg1 0.0000 0.0000 0.0000  3 Ir 2.68-2.82, 4 Ag 2.75-2.77
Mg2 0.2243 0.0000 0.6385  4 Ir 2.72-2.79, 3 Ag 2.75-2.78
Ag1 0.4748 0.0000 0.4802  7 Mg 2.75-2.78, 2 Ir 2.83, 2 Ag 3.07
Ir1 0.2365 0.5000 0.1367  7 Mg 2.68-2.82, 2 Ag 2.83

***

The following is a PBEsol calculation of a relaxed MgAgIr2 crystal, from Alexandria.

Output
total magnetic moment	0.00	μB/f.u.
E_tot	-6.009	eV per atom
ΔE_f	0.160	eV/atom
crystal system	tetragonal

Lattice parameters (Å, degrees): 3.8000 3.8000 8.4266 90.00 90.00 90.00
Last column: nearest neighbours and their distance in Å.
Space group I4/mmm (No. 139)
Unique sites:
Mg1 0.0000 0.0000 0.0000  4 Ag 2.69, 8 Ir 2.84
Ag1 0.0000 0.0000 0.5000  4 Mg 2.69, 8 Ir 2.84
Ir1 0.0000 0.5000 0.2500  4 Ir 2.69, 4 Mg 2.84, 4 Ag 2.84

***

The following is a PBEsol calculation of a relaxed MgAgIr2 crystal, from Alexandria.

Output
total magnetic moment	0.00	μB/f.u.
E_tot	-6.020	eV per atom
ΔE_f	0.149	eV/atom
crystal system	orthorhombic

Lattice parameters (Å, degrees): 2.8489 4.6223 9.4099 90.00 90.00 90.00
Last column: nearest neighbours and their distance in Å.
Space group Imm2 (No. 44)
Unique sites:
Mg1 0.0000 0.0000 0.0000  6 Ir 2.72-2.78, 2 Mg 2.85, 2 Ag 2.86
Ag1 0.0000 0.5000 0.7641  6 Ir 2.72-2.81, 2 Ag 2.85, 2 Mg 2.86
Ir1 0.0000 0.0000 0.5214  4 Ir 2.55-2.85, 4 Mg 2.72, 2 Ag 2.81
Ir2 0.0000 0.5000 0.2468  4 Ir 2.55-2.85, 4 Ag 2.72, 2 Mg 2.78

***

The following is a PBEsol calculation of a relaxed MgAgIr2 crystal, from Alexandria.

Output
total magnetic moment	0.00	μB/f.u.
E_tot	-5.985	eV per atom
ΔE_f	0.184	eV/atom
crystal system	orthorhombic

Lattice parameters (Å, degrees): 2.7292 4.1260 5.3978 90.00 90.00 90.00
Last column: nearest neighbours and their distance in Å.
Space group Pmmm (No. 47)
Unique sites:
Mg1 0.0000 0.0000 0.0000  2 Ag 2.70, 2 Mg 2.73, 8 Ir 2.79
Ag1 0.0000 0.0000 0.5000  2 Mg 2.70, 2 Ag 2.73, 8 Ir 2.84
Ir1 0.5000 0.5000 0.2401  4 Ir 2.59-2.81, 4 Mg 2.79, 4 Ag 2.84

***

The following is a PBEsol calculation of a relaxed MgAg2IrOs crystal, from Alexandria.

Output
total magnetic moment	0.66	μB/f.u.
E_tot	-4.758	eV per atom
ΔE_f	1.317	eV/atom
crystal system	tetragonal

Lattice parameters (Å, degrees): 4.9695 4.9695 4.6494 90.00 90.00 90.00
Last column: nearest neighbours and their distance in Å.
Space group P4/mmm (No. 123)
Unique sites:
Mg1 0.0000 0.0000 0.0000  8 Ag 3.40, 4 Os 3.51
Ag1 0.0000 0.5000 0.5000  2 Ir 2.48
Ir1 0.5000 0.5000 0.5000  2 Os 2.32, 4 Ag 2.48
Os1 0.5000 0.5000 0.0000  2 Ir 2.32

***

- Number 4 is which compound?
  Mg2AgIr